Density functional theory data (PBE+U) for a geometry-optimized Rb3V5O12 structure.

Cell lengths 13.233, 13.233, 13.233 Å; angles 90.00, 90.00, 90.00 degrees
Space group Ia-3d (No. 230)
Asymmetric unit:
Rb: 0.000 0.250 0.125 (multiplicity 24)
V: 0.000 0.000 0.000 (multiplicity 16)
V: 0.000 0.250 0.375 (multiplicity 24)
O: 0.032 0.147 0.953 (multiplicity 96)

Values from the calculation:
The value obtained for the total energy is -6.8750 eV per atom. As for the crystal system: cubic. As for the density: 4.0 g/cm3.